# PBE ScMnPt2, optimized geometry
data_ScMnPt2
_space_group_name_H-M_alt 'P 4 m m'
_space_group_IT_number 99
_space_group_name_Hall 'P 4 -2'
_cell_length_a 2.933
_cell_length_b 2.933
_cell_length_c 7.572
_cell_angle_alpha 90.00
_cell_angle_beta 90.00
_cell_angle_gamma 90.00
loop_
_atom_site_label
_atom_site_type_symbol
_atom_site_fract_x
_atom_site_fract_y
_atom_site_fract_z
_atom_site_occupancy
Sc1 Sc 0.000 0.000 0.000 1
Mn1 Mn 0.500 0.500 0.265 1
Pt1 Pt 0.000 0.000 0.478 1
Pt2 Pt 0.500 0.500 0.751 1
# **Crystal system**: tetragonal
# **DFT formation energy**: -0.37 eV per atom

***

# PBE Sc2MnPt, optimized geometry
data_Sc2MnPt
_space_group_name_H-M_alt 'P 4 m m'
_space_group_IT_number 99
_space_group_name_Hall 'P 4 -2'
_cell_length_a 3.363
_cell_length_b 3.363
_cell_length_c 6.814
_cell_angle_alpha 90.00
_cell_angle_beta 90.00
_cell_angle_gamma 90.00
loop_
_atom_site_label
_atom_site_type_symbol
_atom_site_fract_x
_atom_site_fract_y
_atom_site_fract_z
_atom_site_occupancy
Sc1 Sc 0.000 0.000 0.000 1
Sc2 Sc 0.500 0.500 0.350 1
Mn1 Mn 0.000 0.000 0.579 1
Pt1 Pt 0.500 0.500 0.799 1
# **Crystal system**: tetragonal
# **DFT formation energy**: -0.39 eV per atom

***

# PBE Sc2MnSi4Pt3, optimized geometry
data_Sc2MnSi4Pt3
_space_group_name_H-M_alt 'P -4 m 2'
_space_group_IT_number 115
_space_group_name_Hall 'P -4 -2'
_cell_length_a 3.888
_cell_length_b 3.888
_cell_length_c 10.638
_cell_angle_alpha 90.00
_cell_angle_beta 90.00
_cell_angle_gamma 90.00
loop_
_atom_site_label
_atom_site_type_symbol
_atom_site_fract_x
_atom_site_fract_y
_atom_site_fract_z
_atom_site_occupancy
Sc1 Sc 0.000 0.500 0.231 1
Mn1 Mn 0.500 0.500 0.000 1
Si1 Si 0.000 0.000 0.500 1
Si2 Si 0.000 0.500 0.861 1
Si3 Si 0.500 0.500 0.500 1
Pt1 Pt 0.000 0.000 0.000 1
Pt2 Pt 0.000 0.500 0.638 1
# **Formation energy without anion corrections**: -0.88 eV per atom
# **Crystal system**: tetragonal

***

# PBE ScMnTe2Pt, optimized geometry
data_ScMnTe2Pt
_space_group_name_H-M_alt 'P 4/m m m'
_space_group_IT_number 123
_space_group_name_Hall '-P 4 2'
_cell_length_a 5.405
_cell_length_b 5.405
_cell_length_c 4.909
_cell_angle_alpha 90.00
_cell_angle_beta 90.00
_cell_angle_gamma 90.00
loop_
_atom_site_label
_atom_site_type_symbol
_atom_site_fract_x
_atom_site_fract_y
_atom_site_fract_z
_atom_site_occupancy
Sc1 Sc 0.000 0.000 0.000 1
Mn1 Mn 0.500 0.500 0.000 1
Te1 Te 0.000 0.500 0.500 1
Pt1 Pt 0.000 0.000 0.500 1
# **Formation energy without anion corrections**: 0.29 eV per atom
# **Crystal system**: tetragonal

***

# PBE ScMnTl2Pt, optimized geometry
data_ScMnTl2Pt
_space_group_name_H-M_alt 'P 4/m m m'
_space_group_IT_number 123
_space_group_name_Hall '-P 4 2'
_cell_length_a 5.583
_cell_length_b 5.583
_cell_length_c 4.790
_cell_angle_alpha 90.00
_cell_angle_beta 90.00
_cell_angle_gamma 90.00
loop_
_atom_site_label
_atom_site_type_symbol
_atom_site_fract_x
_atom_site_fract_y
_atom_site_fract_z
_atom_site_occupancy
Sc1 Sc 0.000 0.000 0.000 1
Mn1 Mn 0.500 0.500 0.500 1
Tl1 Tl 0.000 0.500 0.000 1
Pt1 Pt 0.000 0.000 0.500 1
# **Crystal system**: tetragonal
# **DFT formation energy**: 0.72 eV per atom

***

# PBE MnPtSe2, optimized geometry
data_MnPtSe2
_space_group_name_H-M_alt 'I 4/m m m'
_space_group_IT_number 139
_space_group_name_Hall '-I 4 2'
_cell_length_a 5.238
_cell_length_b 5.238
_cell_length_c 5.616
_cell_angle_alpha 90.00
_cell_angle_beta 90.00
_cell_angle_gamma 90.00
loop_
_atom_site_label
_atom_site_type_symbol
_atom_site_fract_x
_atom_site_fract_y
_atom_site_fract_z
_atom_site_occupancy
Mn1 Mn 0.000 0.000 0.000 1
Pt1 Pt 0.000 0.000 0.500 1
Se1 Se 0.000 0.500 0.000 1
# **Formation energy without anion corrections**: -0.02 eV per atom
# **Crystal system**: tetragonal
# **Offset from the most stable computed form**: 1.238 eV/f.u.

***

Values for electronic total energy, eV per atom, ordered as above
-7.26, -7.36, -7.05, -5.27, -4.53, -5.57